{"formula": "Cs2BiHF", "functional": "PBE", "state": "relaxed", "lattice_angstrom": [[-1.409, 4.801, 3.856], [-4.221, 0.521, -2.191], [-2.618, -4.048, 4.083]], "species": ["Cs", "Cs", "H", "Bi", "F"], "fractional_positions": [[0.000, 0.000, 0.500], [0.500, 0.000, 0.000], [0.500, 0.500, 0.500], [0.000, 0.500, 0.000], [0.000, 0.000, 0.000]], "m_tot_mub_per_cell": 1.0, "space_group": "No. 123", "final_energy_ev_per_atom": -2.789}

***

{"formula": "CsBiI2F", "functional": "PBE", "state": "relaxed", "lattice_angstrom": [[6.579, 0.000, 0.000], [0.000, 6.579, 0.000], [0.000, 0.000, 4.669]], "species": ["Cs", "I", "I", "Bi", "F"], "fractional_positions": [[0.500, 0.500, 0.500], [0.000, 0.500, 0.000], [0.500, 0.000, 0.000], [0.000, 0.000, 0.000], [0.000, 0.000, 0.500]], "raw_formation_energy_mev_per_atom": -1259, "m_tot_mub_per_cell": 0.5, "space_group": "No. 123", "final_energy_ev_per_atom": -3.200}

***

{"formula": "CsK2BiF", "functional": "PBE", "state": "relaxed", "lattice_angstrom": [[5.561, 0.000, 0.000], [0.000, 5.561, 0.000], [0.000, 0.000, 5.924]], "species": ["Cs", "K", "K", "Bi", "F"], "fractional_positions": [[0.000, 0.000, 0.500], [0.000, 0.500, 0.000], [0.500, 0.000, 0.000], [0.500, 0.500, 0.500], [0.000, 0.000, 0.000]], "raw_formation_energy_mev_per_atom": -1213, "m_tot_mub_per_cell": 1.0, "space_group": "No. 123", "final_energy_ev_per_atom": -2.973}

***

{"formula": "CsK2BiF6", "functional": "PBE", "state": "relaxed", "lattice_angstrom": [[-4.606, -4.622, 1.361], [5.026, -4.249, 2.575], [-1.383, 3.667, 8.751]], "species": ["Cs", "Cs", "K", "K", "K", "K", "Bi", "Bi", "F", "F", "F", "F", "F", "F", "F", "F", "F", "F", "F", "F"], "fractional_positions": [[0.500, 0.000, 0.000], [0.000, 0.500, 0.500], [0.003, 0.968, 0.278], [0.503, 0.532, 0.778], [0.997, 0.032, 0.722], [0.497, 0.468, 0.222], [0.500, 0.000, 0.500], [0.000, 0.500, 0.000], [0.301, 0.647, 0.024], [0.801, 0.853, 0.524], [0.699, 0.353, 0.976], [0.199, 0.147, 0.476], [0.354, 0.751, 0.384], [0.854, 0.749, 0.884], [0.646, 0.249, 0.616], [0.146, 0.251, 0.116], [0.873, 0.623, 0.205], [0.373, 0.877, 0.705], [0.127, 0.377, 0.795], [0.627, 0.123, 0.295]], "raw_formation_energy_mev_per_atom": -2681, "m_tot_mub_per_cell": 0.0, "space_group": "No. 14", "final_energy_ev_per_atom": -4.496}

***

{"formula": "Cs2KBiF", "functional": "PBE", "state": "relaxed", "lattice_angstrom": [[-1.106, 5.059, -2.920], [-5.696, -1.592, -0.600], [-1.162, 2.414, 4.623]], "species": ["Cs", "Cs", "K", "Bi", "F"], "fractional_positions": [[0.000, 0.500, 0.000], [0.500, 0.000, 0.000], [0.000, 0.000, 0.500], [0.500, 0.500, 0.500], [0.000, 0.000, 0.000]], "raw_formation_energy_mev_per_atom": -1204, "m_tot_mub_per_cell": 0.9, "space_group": "No. 123", "final_energy_ev_per_atom": -2.915}

***

{"formula": "Cs2LiBiF6", "functional": "PBE", "state": "relaxed", "lattice_angstrom": [[-2.551, -4.541, 3.724], [3.120, -5.517, 0.915], [2.603, -1.298, 5.705]], "species": ["Cs", "Cs", "Li", "Bi", "F", "F", "F", "F", "F", "F"], "fractional_positions": [[0.750, 0.750, 0.750], [0.250, 0.250, 0.250], [0.500, 0.500, 0.500], [0.000, 0.000, 0.000], [0.746, 0.254, 0.254], [0.254, 0.254, 0.746], [0.254, 0.746, 0.746], [0.254, 0.746, 0.254], [0.746, 0.254, 0.746], [0.746, 0.746, 0.254]], "raw_formation_energy_mev_per_atom": -2681, "m_tot_mub_per_cell": 0.0, "space_group": "No. 225", "final_energy_ev_per_atom": -4.554}